(1)
A geometry-optimized Rb4HgCl7 structure, computed with PBE.

a = 8.732 Å, b = 8.732 Å, c = 10.879 Å
α = 117.55°, β = 117.55°, γ = 36.95°
Sites, in units of the cell vectors:
Rb1 0.053 0.053 0.237
Rb2 0.226 0.226 0.810
Rb3 0.774 0.774 0.190
Rb4 0.947 0.947 0.763
Hg1 0.500 0.500 0.500
Cl1 0.000 0.000 0.500
Cl2 0.153 0.153 0.048
Cl3 0.259 0.259 0.510
Cl4 0.434 0.434 0.248
Cl5 0.566 0.566 0.752
Cl6 0.741 0.741 0.490
Cl7 0.847 0.847 0.952

Output
Total moment   0.000 μB per formula unit
Energy   -2.8354 eV/atom
Symmetry   C2/m, No. 12

=====

(2)
A geometry-optimized LaHIO2 structure, computed with PBE.

a = 4.313 Å, b = 4.313 Å, c = 7.141 Å
α = 90.00°, β = 90.00°, γ = 90.00°
Sites, in units of the cell vectors:
La1 0.000 0.000 0.000
H1 0.500 0.500 0.500
I1 0.000 0.000 0.500
O1 0.000 0.500 0.000
O2 0.500 0.000 0.000

Output
Total moment   0.483 μB per formula unit
Symmetry   P4/mmm, No. 123
Polymorph energy (0 for the lowest one)   0.0 meV per atom

=====

(3)
A geometry-optimized Ba2ZnPt structure, computed with PBE.

a = 4.697 Å, b = 4.697 Å, c = 6.565 Å
α = 90.00°, β = 90.00°, γ = 90.00°
Sites, in units of the cell vectors:
Ba1 0.000 0.000 0.000
Ba2 0.500 0.500 0.499
Zn1 0.500 0.500 0.999
Pt1 0.000 0.000 0.500

Output
Total moment   0.000 μB per formula unit
Symmetry   P4mm, No. 99
Calculated formation energy   -29.2 kJ/mol of atoms

=====

(4)
A geometry-optimized ErZnSn2 structure, computed with PBE.

a = 4.346 Å, b = 4.346 Å, c = 9.779 Å
α = 90.00°, β = 90.00°, γ = 90.00°
Sites, in units of the cell vectors:
Er1 0.250 0.250 0.249
Er2 0.750 0.750 0.751
Zn1 0.250 0.750 0.000
Zn2 0.750 0.250 0.000
Sn1 0.250 0.250 0.813
Sn2 0.250 0.750 0.500
Sn3 0.750 0.250 0.500
Sn4 0.750 0.750 0.187

Output
Total moment   0.000 μB per formula unit
Symmetry   P4/nmm, No. 129
Calculated formation energy   -41.1 kJ/mol of atoms

=====

(5)
A geometry-optimized PmGdIn2 structure, computed with PBE.

a = 5.404 Å, b = 5.404 Å, c = 5.404 Å
α = 60.00°, β = 60.00°, γ = 60.00°
Sites, in units of the cell vectors:
Pm1 0.000 0.000 0.000
Gd1 0.500 0.500 0.500
In1 0.250 0.250 0.250
In2 0.750 0.750 0.750

Output
Total moment   7.130 μB per formula unit
Symmetry   Fm-3m, No. 225
Calculated formation energy   -46.8 kJ/mol of atoms

=====

(6)
A geometry-optimized Nd4Y8Ho structure, computed with PBE.

a = 7.845 Å, b = 7.845 Å, c = 7.845 Å
α = 90.05°, β = 90.05°, γ = 90.05°
Sites, in units of the cell vectors:
Nd1 0.000 0.000 0.000
Nd2 0.000 0.500 0.500
Nd3 0.500 0.000 0.500
Nd4 0.500 0.500 0.000
Y1 0.241 0.241 0.241
Y2 0.241 0.241 0.759
Y3 0.241 0.759 0.241
Y4 0.241 0.759 0.759
Y5 0.759 0.241 0.241
Y6 0.759 0.241 0.759
Y7 0.759 0.759 0.241
Y8 0.759 0.759 0.759
Ho1 0.500 0.500 0.500

Output
Total moment   1.937 μB per formula unit
Symmetry   R-3m, No. 166
Calculated formation energy   49.3 kJ/mol of atoms